1.
Rb3SnTe4: optimized geometry, PBE.

Computed properties:
The magnetization is 0.00 μB/cell. As for the space group: No. 31. The value obtained for the total energy is -49.45 eV for the cell shown. The calculation puts the density at 3.91 g cm⁻³.

a b c (Å): 7.5830 7.3164 13.5477
angles (deg): 90.00 90.00 90.00
With the nearest neighbours (Å) after each atom.
Fractional coordinates of all 16 atoms:
Rb (0.1216, 0.7036, 0.7633)  5 Te 3.72-3.83
Rb (0.4409, 0.9568, 0.0000)  4 Te 3.59-3.90, 1 Sn 3.94
Rb (0.1216, 0.7036, 0.2367)  5 Te 3.72-3.83
Rb (0.9409, 0.0432, 0.5000)  4 Te 3.59-3.90, 1 Sn 3.94
Rb (0.6216, 0.2964, 0.7367)  5 Te 3.72-3.83
Rb (0.6216, 0.2964, 0.2633)  5 Te 3.72-3.83
Te (0.3825, 0.2182, 0.5000)  1 Sn 2.97, 1 Te 3.01
Te (0.6855, 0.4251, 0.0000)  1 Sn 2.80, 1 Te 3.01
Te (0.1477, 0.2052, 0.8218)  1 Sn 2.78
Te (0.1477, 0.2052, 0.1782)  1 Sn 2.78
Te (0.8826, 0.7819, 0.0000)  1 Sn 2.97, 1 Te 3.01
Te (0.1854, 0.5749, 0.5000)  1 Sn 2.80, 1 Te 3.01
Te (0.6477, 0.7948, 0.3218)  1 Sn 2.78
Te (0.6477, 0.7948, 0.6782)  1 Sn 2.78
Sn (0.4677, 0.8216, 0.5000)  4 Te 2.78-2.97
Sn (0.9678, 0.1784, 0.0000)  4 Te 2.78-2.97

***

2.
Rb2SnTe2: optimized geometry, PBE.

Computed properties:
The magnetization is 0.00 μB/cell. As for the space group: No. 36. The value obtained for the total energy is -31.90 eV for the cell shown. The calculation puts the density at 4.08 g cm⁻³. For the excess energy over the best structure of this formula in the dataset, the calculation gives 0.00 eV/f.u.

a b c (Å): 4.7343 7.8572 12.1566
angles (deg): 90.00 101.23 90.00
With the nearest neighbours (Å) after each atom.
Fractional coordinates of all 10 atoms:
Rb (0.1958, 0.9683, 0.3915)  6 Te 3.68-4.11
Rb (0.9686, 0.7282, 0.9371)  5 Te 3.68-4.10, 2 Sn 3.85
Rb (0.0314, 0.2282, 0.0629)  5 Te 3.68-4.10, 2 Sn 3.85
Rb (0.8042, 0.4683, 0.6085)  6 Te 3.68-4.11
Te (0.4204, 0.4013, 0.8408)  1 Sn 2.84
Te (0.1801, 0.4894, 0.3602)  2 Sn 3.02
Te (0.8199, 0.9894, 0.6398)  2 Sn 3.02
Te (0.5796, 0.9013, 0.1592)  1 Sn 2.84
Sn (0.6038, 0.5472, 0.2075)  3 Te 2.84-3.02
Sn (0.3962, 0.0472, 0.7925)  3 Te 2.84-3.02

***

3.
Rb2SnTe5: optimized geometry, PBE.

Computed properties:
The magnetization is 0.00 μB/cell. As for the space group: No. 140. The value obtained for the total energy is -51.82 eV for the cell shown. The calculation puts the density at 4.94 g cm⁻³. For the excess energy over the best structure of this formula in the dataset, the calculation gives 0.00 eV/f.u.

a b c (Å): 10.0654 10.0654 10.0654
angles (deg): 127.42 127.42 77.56
With the nearest neighbours (Å) after each atom.
Fractional coordinates of all 16 atoms:
Sn (0.7467, 0.2467, 0.5000)  4 Te 2.82
Sn (0.2467, 0.7467, 0.5000)  4 Te 2.82
Rb (0.4965, 0.4965, 0.0000)  2 Rb 3.92, 8 Te 3.93
Rb (0.9965, 0.9965, 0.0000)  2 Rb 3.92, 8 Te 3.93
Rb (0.2465, 0.2465, 0.0000)  8 Te 3.74-3.75, 2 Rb 3.92
Rb (0.7465, 0.7465, 0.0000)  8 Te 3.74-3.75, 2 Rb 3.92
Te (0.9967, 0.4967, 0.5000)  4 Te 3.06
Te (0.5335, 0.6864, 0.5000)  1 Sn 2.82, 1 Te 3.06
Te (0.3069, 0.8069, 0.8470)  1 Sn 2.82, 1 Te 3.06
Te (0.1864, 0.0335, 0.5000)  1 Sn 2.82, 1 Te 3.06
Te (0.9599, 0.4599, 0.1530)  1 Sn 2.82, 1 Te 3.06
Te (0.4599, 0.3069, 0.5000)  1 Sn 2.82, 1 Te 3.06
Te (0.0335, 0.5335, 0.8471)  1 Sn 2.82, 1 Te 3.06
Te (0.6864, 0.1864, 0.1529)  1 Sn 2.82, 1 Te 3.06
Te (0.8069, 0.9599, 0.5000)  1 Sn 2.82, 1 Te 3.06
Te (0.4967, 0.9967, 0.5000)  4 Te 3.06

***

4.
RbSn2Te4: optimized geometry, PBE.

Computed properties:
The magnetization is 0.00 μB/cell. As for the space group: No. 1. The value obtained for the total energy is -47.84 eV for the cell shown. The calculation puts the density at 5.13 g cm⁻³. For the excess energy over the best structure of this formula in the dataset, the calculation gives 0.00 eV/f.u.

a b c (Å): 9.6030 9.5874 8.6939
angles (deg): 109.95 110.04 117.00
With the nearest neighbours (Å) after each atom.
Fractional coordinates of all 14 atoms:
Te (0.7764, 0.0501, 0.5932)  1 Te 2.86, 2 Sn 2.94-3.04
Te (0.3003, 0.5266, 0.0933)  1 Te 2.86, 2 Sn 2.94-3.03
Te (0.4299, 0.9700, 0.3301)  1 Te 2.86
Te (0.2196, 0.1797, 0.8297)  1 Te 2.86
Te (0.9328, 0.6180, 0.7539)  3 Sn 2.98-3.11
Te (0.8682, 0.6831, 0.2541)  3 Sn 2.98-3.12
Te (0.8222, 0.2287, 0.1951)  2 Sn 2.92-3.18
Te (0.4801, 0.5736, 0.6963)  2 Sn 2.92-3.17
Rb (0.1058, 0.0835, 0.1606)  6 Te 3.63-4.01, 2 Sn 3.91-3.93
Rb (0.3331, 0.8557, 0.6605)  6 Te 3.63-4.01, 2 Sn 3.91-3.93
Sn (0.0747, 0.4035, 0.6626)  4 Te 2.94-3.18
Sn (0.6536, 0.8245, 0.1625)  4 Te 2.94-3.17
Sn (0.6331, 0.3696, 0.3039)  3 Te 2.92-3.12
Sn (0.6203, 0.3834, 0.8041)  3 Te 2.92-3.11